[1]
The following is a DFT calculation (PBE-GGA) of a geometry-optimized ZnAg6Sn2 structure.

Cell lengths 3.093, 8.056, 8.373 Å; angles 118.75, 100.31, 90.00 degrees
Positions (direct):
Zn 0.000 0.000 0.000
Ag 0.161 0.344 0.329
Ag 0.839 0.015 0.671
Ag 0.839 0.656 0.671
Ag 0.500 0.287 0.000
Ag 0.161 0.985 0.329
Ag 0.500 0.713 0.000
Sn 0.653 0.661 0.322
Sn 0.347 0.339 0.678

Calculated values
The value obtained for the total energy is -2.8859 eV/atom. The total magnetic moment comes out at 0.00 μB per formula unit. As for the space-group type: C2/m (12).



[2]
The following is a DFT calculation (PBE-GGA) of a geometry-optimized LaSm5Y2 structure.

Cell lengths 7.229, 9.541, 10.104 Å; angles 90.00, 90.00, 55.17 degrees
Positions (direct):
La 0.697 0.727 0.750
La 0.303 0.273 0.250
Sm 0.754 0.999 0.966
Sm 0.754 0.999 0.534
Sm 0.269 0.640 0.408
Sm 0.269 0.640 0.092
Sm 0.787 0.279 0.250
Sm 0.213 0.721 0.750
Sm 0.731 0.360 0.592
Sm 0.731 0.360 0.908
Sm 0.246 0.001 0.034
Sm 0.246 0.001 0.466
Y 0.774 0.637 0.409
Y 0.774 0.637 0.091
Y 0.226 0.363 0.591
Y 0.226 0.363 0.909

Calculated values
The value obtained for the total energy is -4.9414 eV/atom. The total magnetic moment comes out at 0.00 μB per formula unit. As for the space-group type: P2_1/m (11). Its energy above the most stable polymorph in this dataset is 1.78 eV per formula unit.



[3]
The following is a DFT calculation (PBE-GGA) of a geometry-optimized KSrScI6 structure.

Cell lengths 8.094, 8.094, 15.061 Å; angles 90.00, 90.00, 120.00 degrees
Positions (direct):
K 0.000 0.000 0.000
K 0.000 0.000 0.500
Sr 0.333 0.667 0.250
Sr 0.667 0.333 0.750
Sc 0.667 0.333 0.250
Sc 0.333 0.667 0.750
I 0.653 0.618 0.136
I 0.965 0.347 0.136
I 0.347 0.965 0.636
I 0.035 0.653 0.864
I 0.382 0.347 0.364
I 0.965 0.618 0.364
I 0.618 0.965 0.864
I 0.653 0.035 0.364
I 0.035 0.382 0.636
I 0.382 0.035 0.136
I 0.618 0.653 0.636
I 0.347 0.382 0.864

Calculated values
The value obtained for the total energy is -3.4834 eV/atom. The total magnetic moment comes out at 0.00 μB per formula unit. As for the space-group type: P-31c (163).



[4]
The following is a DFT calculation (PBE-GGA) of a geometry-optimized FeNiW structure.

Cell lengths 2.675, 2.675, 6.433 Å; angles 90.00, 90.00, 120.00 degrees
Site moments in Bohr magnetons follow the coordinates.
Positions (direct):
Fe 0.000 0.000 0.016  2.41
Ni 0.667 0.333 0.323  0.30
W 0.333 0.667 0.662  -0.15

Calculated values
The value obtained for the total energy is -8.8109 eV/atom. The total magnetic moment comes out at 2.46 μB per formula unit. As for the space-group type: P3m1 (156). Its energy above the most stable polymorph in this dataset is 0.55 eV per formula unit.



[5]
The following is a DFT calculation (PBE-GGA) of a geometry-optimized SiAgAu structure.

Cell lengths 5.096, 5.096, 5.096 Å; angles 141.12, 140.13, 56.91 degrees
Positions (direct):
Ag 0.997 0.997 0.000
Au 0.311 0.311 0.000
Si 0.692 0.692 0.000

Calculated values
The value obtained for the total energy is -3.6853 eV/atom. The total magnetic moment comes out at 0.00 μB per formula unit. As for the space-group type: Imm2 (44). Its energy above the most stable polymorph in this dataset is 0.18 eV per formula unit.



[6]
The following is a DFT calculation (PBE-GGA) of a geometry-optimized HoPaZn2 structure.

Cell lengths 5.000, 5.000, 5.000 Å; angles 60.00, 60.00, 60.00 degrees
Positions (direct):
Zn 0.250 0.250 0.250
Zn 0.750 0.750 0.750
Pa 0.000 0.000 0.000
Ho 0.500 0.500 0.500

Calculated values
The value obtained for the total energy is -4.2081 eV/atom. The total magnetic moment comes out at 0.00 μB per formula unit. As for the space-group type: Fm-3m (225). Its energy above the most stable polymorph in this dataset is 0.25 eV per formula unit.



[7]
The following is a DFT calculation (PBE-GGA) of a geometry-optimized H4Os structure.

Cell lengths 3.342, 3.342, 3.342 Å; angles 90.00, 90.00, 90.00 degrees
Positions (direct):
H 0.000 0.000 0.000
H 0.500 0.000 0.500
H 0.000 0.500 0.500
H 0.500 0.500 0.000
Os 0.500 0.500 0.500

Calculated values
The value obtained for the total energy is -3.9638 eV/atom. The total magnetic moment comes out at 0.01 μB per formula unit. As for the space-group type: Pm-3m (221).



[8]
The following is a DFT calculation (PBE-GGA) of a geometry-optimized Pm3Cd2Ag7 structure.

Cell lengths 4.581, 5.206, 12.018 Å; angles 89.26, 90.00, 90.00 degrees
Positions (direct):
Pm 0.500 0.500 0.000
Pm 0.000 0.037 0.329
Pm 0.000 0.963 0.671
Cd 0.500 0.497 0.289
Cd 0.500 0.503 0.711
Ag 0.500 0.751 0.497
Ag 0.500 0.249 0.503
Ag 0.000 0.582 0.162
Ag 0.000 0.000 0.000
Ag 0.000 0.418 0.838
Ag 0.500 0.007 0.849
Ag 0.500 0.993 0.151

Calculated values
The value obtained for the total energy is -3.1490 eV/atom. The total magnetic moment comes out at 0.00 μB per formula unit. As for the space-group type: P2/m (10).